1.
## Rb2Zn2Te3 (PBE-GGA)

Data for Rb2Zn2Te3 after structural relaxation.

Values from the calculation:
**Volume**: 1104 Å³/cell
**Calculated density**: 4.12 g/cm3
**Formation energy from raw total energies**: -0.71 eV/atom

a = 19.7791 Å, b = 4.5408 Å, c = 13.8098 Å
α = 90.00°, β = 117.11°, γ = 90.00°
With the nearest neighbours (Å) after each atom.
Space group C2/m (No. 12)
Inequivalent atoms, fractional coordinates:
Rb 0.0710 0.0000 0.4422  6 Te 3.73-3.82, 1 Rb 3.81, 2 Zn 4.05
Rb 0.2428 0.0000 0.8364  6 Te 3.55-3.91
Zn 0.0539 0.5000 0.8226  4 Te 2.56-2.82
Zn 0.0619 0.0000 0.1233  4 Te 2.69-2.85
Te 0.0968 0.5000 0.6733  1 Zn 2.56
Te 0.0988 0.0000 0.9580  4 Zn 2.69-2.85
Te 0.1020 0.5000 0.2436  3 Zn 2.71-2.79

2.
## CuTcTe (PBE-GGA)

Data for CuTcTe after structural relaxation.

Values from the calculation:
**Volume**: 227 Å³/cell
**Calculated density**: 8.45 g/cm3
**Formation energy from raw total energies**: 0.34 eV/atom

a = 6.1024 Å, b = 6.1024 Å, c = 6.1024 Å
α = 90.00°, β = 90.00°, γ = 90.00°
With the nearest neighbours (Å) after each atom.
Space group F-43m (No. 216)
Inequivalent atoms, fractional coordinates:
Cu 0.0000 0.0000 0.0000  4 Tc 2.64
Tc 0.2500 0.2500 0.7500  4 Te 2.64, 4 Cu 2.64
Te 0.0000 0.0000 0.5000  4 Tc 2.64

3.
## MgW2Cl (PBE-GGA)

Data for MgW2Cl after structural relaxation.

Values from the calculation:
**Volume**: 84 Å³/cell
**Calculated density**: 8.48 g/cm3
**Formation energy from raw total energies**: 0.86 eV/atom

a = 3.5914 Å, b = 3.5914 Å, c = 6.4920 Å
α = 90.00°, β = 90.00°, γ = 90.00°
With the nearest neighbours (Å) after each atom.
Space group P4/mmm (No. 123)
Inequivalent atoms, fractional coordinates:
Mg 0.0000 0.0000 0.0000  4 Cl 2.54
W 0.0000 0.5000 0.5000  4 W 2.54
Cl 0.5000 0.5000 0.0000  4 Mg 2.54

4.
## Nd5ScSn4 (PBE-GGA)

Data for Nd5ScSn4 after structural relaxation.

Values from the calculation:
**Volume**: 669 Å³/cell
**Calculated density**: 6.16 g/cm3
**ΔE_f**: -32.6 kJ per mole of atoms

a = 19.3829 Å, b = 3.7416 Å, c = 9.5829 Å
α = 90.00°, β = 105.84°, γ = 90.00°
With the nearest neighbours (Å) after each atom.
Space group C2/m (No. 12)
Inequivalent atoms, fractional coordinates:
Nd 0.0000 0.0000 0.0000  4 Sn 3.13
Nd 0.1690 0.5000 0.3195  4 Sn 3.16-3.20
Nd 0.1695 0.5000 0.8601  3 Sn 3.16-3.19
Sc 0.0000 0.0000 0.5000  6 Sn 2.95-3.01
Sn 0.9996 0.5000 0.2613  2 Sc 2.95, 4 Nd 3.13-3.18
Sn 0.1615 0.0000 0.5860  1 Sc 3.01, 5 Nd 3.16-3.20

5.
## CaPm7Rh4 (PBE-GGA)

Data for CaPm7Rh4 after structural relaxation.

Values from the calculation:
**Volume**: 635 Å³/cell
**Calculated density**: 7.67 g/cm3
**ΔE_f**: -28.4 kJ per mole of atoms

a = 13.7781 Å, b = 5.6443 Å, c = 9.9852 Å
α = 90.00°, β = 125.17°, γ = 90.00°
With the nearest neighbours (Å) after each atom.
Space group C2/m (No. 12)
Inequivalent atoms, fractional coordinates:
Ca 0.0000 0.0000 0.0000  2 Pm 2.82
Pm 0.0000 0.5000 0.0000  4 Rh 2.79-2.81, 2 Ca 2.82
Pm 0.0841 0.0000 0.3864  1 Rh 2.70
Pm 0.1691 0.5000 0.6213  1 Rh 2.70
Pm 0.2116 0.0000 0.8757  4 Rh 2.96-3.27
Rh 0.0669 0.5000 0.7843  3 Pm 2.70-2.98
Rh 0.1967 0.5000 0.3295  3 Pm 2.70-2.96

6.
## Al2ZnInGe (PBE-GGA)

Data for Al2ZnInGe after structural relaxation.

Values from the calculation:
**Volume**: 135 Å³/cell
**Calculated density**: 3.76 g/cm3
**ΔE_f**: 85.9 kJ per mole of atoms

a = 5.2455 Å, b = 5.2455 Å, c = 4.9195 Å
α = 90.00°, β = 90.00°, γ = 90.00°
With the nearest neighbours (Å) after each atom.
Space group P4/mmm (No. 123)
Inequivalent atoms, fractional coordinates:
Al 0.0000 0.5000 0.0000  2 In 2.62
Zn 0.0000 0.0000 0.5000  2 In 2.46
In 0.0000 0.0000 0.0000  2 Zn 2.46, 4 Al 2.62
Ge 0.5000 0.5000 0.5000  8 Al 3.60, 4 Zn 3.71